# 1
The following is a DFT calculation (PBE) of a geometry-optimized BaBe2CrC structure. Values from VASP.

Cell and atoms, written as Quantum ESPRESSO input:
```
&SYSTEM
  ibrav = 0, nat = 5, ntyp = 4
/
ATOMIC_SPECIES
Ba 137.33 Ba.upf
Be 9.01 Be.upf
Cr 52.00 Cr.upf
C 12.01 C.upf
CELL_PARAMETERS angstrom
4.4350 0.0000 0.0000
0.0000 4.4350 0.0000
0.0000 0.0000 6.3906
ATOMIC_POSITIONS angstrom
Ba 0.0000 0.0000 0.0000
Be 0.0000 2.2175 3.1953
Be 2.2175 0.0000 3.1953
Cr 0.0000 0.0000 3.1953
C 2.2175 2.2175 0.0000
```

# 2
The following is a DFT calculation (PBE) of a geometry-optimized BaLiBeC2 structure. Values from VASP.

Cell and atoms, written as Quantum ESPRESSO input:
```
&SYSTEM
  ibrav = 0, nat = 5, ntyp = 4
/
ATOMIC_SPECIES
Ba 137.33 Ba.upf
Li 6.94 Li.upf
Be 9.01 Be.upf
C 12.01 C.upf
CELL_PARAMETERS angstrom
4.2943 0.0000 0.0000
0.0000 4.2943 0.0000
0.0000 0.0000 4.2123
ATOMIC_POSITIONS angstrom
Ba 0.0000 0.0000 0.0000
Li 2.1472 2.1472 2.1061
Be 2.1472 2.1472 0.0000
C 0.0000 2.1472 2.1061
C 2.1472 0.0000 2.1061
```

# 3
The following is a DFT calculation (PBE) of a geometry-optimized BaBeOs2C structure. Values from VASP.

Cell and atoms, written as Quantum ESPRESSO input:
```
&SYSTEM
  ibrav = 0, nat = 5, ntyp = 4
/
ATOMIC_SPECIES
Ba 137.33 Ba.upf
Be 9.01 Be.upf
Os 190.23 Os.upf
C 12.01 C.upf
CELL_PARAMETERS angstrom
5.1441 0.0000 0.0000
0.0000 5.1441 0.0000
0.0000 0.0000 4.4402
ATOMIC_POSITIONS angstrom
Ba 0.0000 0.0000 0.0000
Be 2.5721 2.5721 2.2201
Os 0.0000 2.5721 0.0000
Os 2.5721 0.0000 0.0000
C 0.0000 0.0000 2.2201
```

# 4
The following is a DFT calculation (PBE) of a geometry-optimized Rb2BaBeC structure. Values from VASP.

Cell and atoms, written as Quantum ESPRESSO input:
```
&SYSTEM
  ibrav = 0, nat = 5, ntyp = 4
/
ATOMIC_SPECIES
Rb 85.47 Rb.upf
Ba 137.33 Ba.upf
Be 9.01 Be.upf
C 12.01 C.upf
CELL_PARAMETERS angstrom
7.2519 0.0000 0.0000
0.0000 7.2519 0.0000
0.0000 0.0000 3.4905
ATOMIC_POSITIONS angstrom
Rb 0.0000 3.6260 0.0000
Rb 3.6260 0.0000 0.0000
Ba 0.0000 0.0000 1.7452
Be 3.6260 3.6260 1.7452
C 3.6260 3.6260 0.0000
```

# 5
The following is a DFT calculation (PBE) of a geometry-optimized BaBe2RhC structure. Values from VASP.

Cell and atoms, written as Quantum ESPRESSO input:
```
&SYSTEM
  ibrav = 0, nat = 5, ntyp = 4
/
ATOMIC_SPECIES
Ba 137.33 Ba.upf
Be 9.01 Be.upf
Rh 102.91 Rh.upf
C 12.01 C.upf
CELL_PARAMETERS angstrom
4.2580 0.0000 0.0000
0.0000 4.2580 0.0000
0.0000 0.0000 6.1910
ATOMIC_POSITIONS angstrom
Ba 0.0000 0.0000 0.0000
Be 0.0000 2.1290 3.0955
Be 2.1290 0.0000 3.0955
Rh 0.0000 0.0000 3.0955
C 2.1290 2.1290 0.0000
```

# 6
The following is a DFT calculation (PBE) of a geometry-optimized BaTiBe2C structure. Values from VASP.

Cell and atoms, written as Quantum ESPRESSO input:
```
&SYSTEM
  ibrav = 0, nat = 5, ntyp = 4
/
ATOMIC_SPECIES
Ba 137.33 Ba.upf
Ti 47.87 Ti.upf
Be 9.01 Be.upf
C 12.01 C.upf
CELL_PARAMETERS angstrom
4.5478 0.0000 0.0000
0.0000 4.5478 0.0000
0.0000 0.0000 6.3854
ATOMIC_POSITIONS angstrom
Ba 0.0000 0.0000 0.0000
Ti 0.0000 0.0000 3.1927
Be 0.0000 2.2739 3.1927
Be 2.2739 0.0000 3.1927
C 2.2739 2.2739 0.0000
```

# 7
The following is a DFT calculation (PBE) of a geometry-optimized BaCaBe2 structure. Values from VASP.

Cell and atoms, written as Quantum ESPRESSO input:
```
&SYSTEM
  ibrav = 0, nat = 4, ntyp = 3
/
ATOMIC_SPECIES
Ba 137.33 Ba.upf
Ca 40.08 Ca.upf
Be 9.01 Be.upf
CELL_PARAMETERS angstrom
5.3634 0.0000 0.0000
0.0000 5.3634 0.0000
0.0000 0.0000 3.6364
ATOMIC_POSITIONS angstrom
Ba 0.0000 0.0000 0.0000
Ca 2.6817 2.6817 0.0000
Be 0.0000 2.6817 1.8182
Be 2.6817 0.0000 1.8182
```

# 8
The following is a DFT calculation (PBE) of a geometry-optimized Ba4CaBe structure. Values from VASP.

Cell and atoms, written as Quantum ESPRESSO input:
```
&SYSTEM
  ibrav = 0, nat = 6, ntyp = 3
/
ATOMIC_SPECIES
Ba 137.33 Ba.upf
Ca 40.08 Ca.upf
Be 9.01 Be.upf
CELL_PARAMETERS angstrom
0.0000 5.3623 5.3623
5.3623 0.0000 5.3623
5.3623 5.3623 0.0000
ATOMIC_POSITIONS angstrom
Ba 1.3308 1.3308 1.3308
Ba 4.0315 4.0315 1.3308
Ba 4.0315 1.3308 4.0315
Ba 1.3308 4.0315 4.0315
Ca 5.3623 5.3623 5.3623
Be 8.0434 8.0434 8.0434
```

# 9
The following is a DFT calculation (PBE) of a geometry-optimized Ba3CaBe structure. Values from VASP.

Cell and atoms, written as Quantum ESPRESSO input:
```
&SYSTEM
  ibrav = 0, nat = 5, ntyp = 3
/
ATOMIC_SPECIES
Ba 137.33 Ba.upf
Ca 40.08 Ca.upf
Be 9.01 Be.upf
CELL_PARAMETERS angstrom
6.3990 0.0000 0.0000
0.0000 6.3990 0.0000
0.0000 0.0000 6.3990
ATOMIC_POSITIONS angstrom
Ba 0.0000 0.0000 3.1995
Ba 0.0000 3.1995 0.0000
Ba 3.1995 0.0000 0.0000
Ca 3.1995 3.1995 3.1995
Be 0.0000 0.0000 0.0000
```

# 10
The following is a DFT calculation (PBE) of a geometry-optimized BaCaBe structure. Values from VASP.

Cell and atoms, written as Quantum ESPRESSO input:
```
&SYSTEM
  ibrav = 0, nat = 3, ntyp = 3
/
ATOMIC_SPECIES
Ba 137.33 Ba.upf
Ca 40.08 Ca.upf
Be 9.01 Be.upf
CELL_PARAMETERS angstrom
0.0000 3.8007 3.8007
3.8007 0.0000 3.8007
3.8007 3.8007 0.0000
ATOMIC_POSITIONS angstrom
Ba 0.0000 0.0000 0.0000
Ca 1.9004 1.9004 1.9004
Be 5.7011 5.7011 5.7011
```

# 11
The following is a DFT calculation (PBE) of a geometry-optimized BaCaBe2 structure. Values from VASP.

Cell and atoms, written as Quantum ESPRESSO input:
```
&SYSTEM
  ibrav = 0, nat = 4, ntyp = 3
/
ATOMIC_SPECIES
Ba 137.33 Ba.upf
Ca 40.08 Ca.upf
Be 9.01 Be.upf
CELL_PARAMETERS angstrom
0.0000 3.7517 3.7517
3.7517 0.0000 3.7517
3.7517 3.7517 0.0000
ATOMIC_POSITIONS angstrom
Ba 0.0000 0.0000 0.0000
Ca 3.7517 3.7517 3.7517
Be 1.8759 1.8759 1.8759
Be 5.6276 5.6276 5.6276
```

# 12
The following is a DFT calculation (PBE) of a geometry-optimized BaCaBe structure. Values from VASP.

Cell and atoms, written as Quantum ESPRESSO input:
```
&SYSTEM
  ibrav = 0, nat = 3, ntyp = 3
/
ATOMIC_SPECIES
Ba 137.33 Ba.upf
Ca 40.08 Ca.upf
Be 9.01 Be.upf
CELL_PARAMETERS angstrom
5.1798 0.0000 0.0000
-2.5899 4.4858 0.0000
0.0000 0.0000 4.6416
ATOMIC_POSITIONS angstrom
Ba 0.0000 0.0000 0.0000
Ca 0.0000 2.9905 2.3234
Be 2.5899 1.4953 2.1152
```

no.,formation energy from the elements (eV per atom)
1,2.01
2,1.77
3,4.03
4,0.91
5,1.21
6,2.25
7,0.58
8,0.74
9,0.34
10,1.03
11,0.56
12,0.52